[1]
Here is crystalline LiSi2Pd2 at its relaxed geometry from Alexandria. Energies are from PBE.

a = 4.554 Å, b = 4.554 Å, c = 7.798 Å
α = 90.00°, β = 90.00°, γ = 102.47°
Element x y z (fractional)
Si (0.683, 0.683, 0.596)
Pd (0.797, 0.203, 0.000)
Li (0.239, 0.239, 0.750)
Pd (0.203, 0.797, 0.500)
Si (0.317, 0.317, 0.096)
Li (0.761, 0.761, 0.250)
Pd (0.797, 0.203, 0.500)
Si (0.317, 0.317, 0.404)
Si (0.683, 0.683, 0.904)
Pd (0.203, 0.797, 0.000)

Computed properties:
For the formation energy from raw total energies, the calculation gives -555 meV per atom.

***

[2]
Here is crystalline CaAl2InAs at its relaxed geometry from Alexandria. Energies are from PBE.

a = 5.554 Å, b = 5.742 Å, c = 5.554 Å
α = 90.00°, β = 90.00°, γ = 90.00°
Element x y z (fractional)
Ca (0.000, 0.000, 0.000)
As (0.500, 0.500, 0.500)
Al (0.500, 0.000, 0.000)
Al (0.000, 0.000, 0.500)
In (0.000, 0.500, 0.000)

Computed properties:
The value obtained for the formation energy is 1168.1 meV/atom.

***

[3]
Here is crystalline Sm6Dy2Er3 at its relaxed geometry from Alexandria. Energies are from PBE.

a = 4.748 Å, b = 4.748 Å, c = 17.047 Å
α = 98.01°, β = 98.01°, γ = 90.00°
Element x y z (fractional)
Sm (0.879, 0.379, 0.759)
Sm (0.699, 0.699, 0.398)
Sm (0.301, 0.301, 0.602)
Er (0.802, 0.802, 0.603)
Dy (0.455, 0.455, 0.909)
Er (0.198, 0.198, 0.397)
Sm (0.621, 0.121, 0.241)
Sm (0.121, 0.621, 0.241)
Dy (0.545, 0.545, 0.091)
Sm (0.379, 0.879, 0.759)
Er (0.000, 0.000, 0.000)

Computed properties:
The value obtained for the formation energy is 296.7 meV/atom.

***

Number 1: density 5.81 g/cm3. Number 2: density 2.66 g/cm3. Number 3: density 7.62 g/cm3.